Arrangement P

Density functional theory data (GGA-PBE) for a relaxed structure of Tl5C4.

POSCAR file:
```
Tl5C4
1.0
-4.0332 4.0332 3.6791
4.0332 -4.0332 3.6791
4.0332 4.0332 -3.6791
C Tl
4 5
Cartesian
4.6734 0.0000 0.0000 C
0.0000 4.6734 0.0000 C
0.0000 3.3929 0.0000 C
3.3929 0.0000 0.0000 C
1.6400 -1.6400 3.6791 Tl
2.3931 2.3931 0.0000 Tl
-1.6400 1.6400 3.6791 Tl
1.6400 1.6400 3.6791 Tl
0.0000 0.0000 0.0000 Tl
```

Properties
- Total moment: 0.00 μB/atom

Arrangement Q

Density functional theory data (GGA-PBE) for a relaxed structure of Tl5C4.

POSCAR file:
```
Tl5C4
1.0
-1.4366 6.1288 -4.4531
1.7220 -6.7894 -3.2240
-6.4424 -1.5851 -0.1031
Tl C
10 8
Cartesian
-4.6145 -1.6918 -5.9225 Tl
-4.4209 -2.8089 -0.8466 Tl
-2.7044 4.2701 -3.4162 Tl
0.6691 -2.4833 -3.6337 Tl
-3.6049 1.0302 -4.0949 Tl
-0.2995 -5.5656 -2.4805 Tl
-5.1746 0.2736 -1.1399 Tl
-0.3837 1.8227 -4.0434 Tl
-2.5520 -3.2759 -3.6852 Tl
-1.5425 -0.5539 -1.8577 Tl
-1.4598 -0.7452 -4.0809 C
0.0000 0.0000 0.0000 C
-3.9222 -4.7750 -1.7803 C
-2.2884 2.4952 -2.1267 C
-5.5906 2.0485 -2.4295 C
-3.2212 -0.7925 -0.0515 C
-0.7982 -3.5994 -1.5468 C
-4.6971 -1.5005 -3.6993 C
```

Properties
- Total moment: 0.00 μB/atom

Top of the stability list: arrangement P, leading by 943 meV per atom.

Arrangement P

Density functional theory data (GGA-PBE) for a relaxed structure of Tl2C3.

POSCAR file:
```
Tl2C3
1.0
0.0000 4.5764 6.6710
3.5182 0.0000 6.6710
3.5182 4.5764 0.0000
C Tl
6 4
Cartesian
5.1392 5.7005 10.5995 C
5.1392 8.0288 9.4134 C
3.3801 3.4123 6.0779 C
5.3185 6.8647 10.0064 C
3.5594 4.5764 6.6710 C
3.3801 5.7406 7.2640 C
4.5153 6.0063 12.9579 Tl
2.7562 5.4348 9.6225 Tl
4.5153 7.7230 7.0549 Tl
2.7562 3.7181 3.7195 Tl
```

Properties
- Total moment: 0.00 μB/atom

Arrangement Q

Density functional theory data (GGA-PBE) for a relaxed structure of Tl2C3.

POSCAR file:
```
Tl2C3
1.0
12.0397 -1.4127 -0.0099
12.0397 1.4127 -0.0099
11.8759 0.0000 2.4315
Tl C
2 3
Cartesian
14.1453 0.0000 0.9487 Tl
21.8100 0.0000 1.4628 Tl
0.0000 0.0000 0.0000 C
5.9927 0.0000 0.4019 C
29.9626 0.0000 2.0096 C
```

Properties
- Total moment: 0.00 μB/atom

Top of the stability list: arrangement P, leading by 703 meV per atom.

Arrangement P

Density functional theory data (GGA-PBE) for a relaxed structure of TlC4.

POSCAR file:
```
TlC4
1.0
-1.5150 1.5150 6.7305
1.5150 -1.5150 6.7305
1.5150 1.5150 -6.7305
C Tl
4 1
Cartesian
0.0000 0.0000 10.7021 C
0.0000 0.0000 2.7589 C
0.0000 1.5150 3.3653 C
1.5150 0.0000 3.3653 C
0.0000 0.0000 0.0000 Tl
```

Properties
- Total moment: 0.00 μB/atom

Arrangement Q

Density functional theory data (GGA-PBE) for a relaxed structure of TlC4.

POSCAR file:
```
TlC4
1.0
4.4741 0.4096 -1.9407
-0.4141 1.1971 4.7273
-1.2077 -4.7315 -0.3266
C Tl
4 1
Cartesian
1.9856 -2.6272 -1.3783 C
-0.6359 -1.3859 1.7256 C
1.2808 -1.6947 -0.8890 C
-0.9859 -2.1485 2.6752 C
0.0000 0.0000 0.0000 Tl
```

Properties
- Total moment: 0.00 μB/atom

Top of the stability list: arrangement P, leading by 209 meV per atom.